Computed, not measured: a geometry-optimized Sc2HgOs structure at the GGA-PBE level of DFT.

Lattice parameters (Å, degrees): 10.528 3.299 4.748 90.00 108.82 90.00
Space group Cm (No. 8)
Inequivalent atoms, fractional coordinates:
Sc1 0.000 0.000 0.000
Sc2 0.212 0.000 0.666
Hg1 0.450 0.000 0.459
Os1 0.216 0.500 0.147

## Properties
Calculated total energy (Ry per atom): -0.4586
Energy of formation from the pure elements (meV/atom): -191

Computed, not measured: a geometry-optimized ScHgOs2 structure at the GGA-PBE level of DFT.

Lattice parameters (Å, degrees): 4.040 4.040 4.079 90.00 90.00 90.00
Space group P4/mmm (No. 123)
Inequivalent atoms, fractional coordinates:
Sc1 0.000 0.000 0.000
Hg1 0.500 0.500 0.000
Os1 0.000 0.500 0.500

## Properties
Calculated total energy (Ry per atom): -0.5148
Energy of formation from the pure elements (meV/atom): 268

Computed, not measured: a geometry-optimized ScHgOs2 structure at the GGA-PBE level of DFT.

Lattice parameters (Å, degrees): 3.097 4.594 9.723 90.00 90.00 90.00
Space group Imm2 (No. 44)
Inequivalent atoms, fractional coordinates:
Sc1 0.000 0.000 0.000
Hg1 0.000 0.500 0.225
Os1 0.000 0.000 0.475
Os2 0.000 0.500 0.759

## Properties
Calculated total energy (Ry per atom): -0.5139
Energy of formation from the pure elements (meV/atom): 282

Computed, not measured: a geometry-optimized Sc2HgTeOs structure at the GGA-PBE level of DFT.

Lattice parameters (Å, degrees): 5.246 5.246 5.270 90.00 90.00 90.00
Space group P4/mmm (No. 123)
Inequivalent atoms, fractional coordinates:
Sc1 0.000 0.500 0.000
Hg1 0.000 0.000 0.000
Te1 0.000 0.000 0.500
Os1 0.500 0.500 0.500

## Properties
Formation energy from raw total energies (eV/atom): 1.373
Calculated total energy (Ry per atom): -0.3009

Computed, not measured: a geometry-optimized Sc2TiHgOs structure at the GGA-PBE level of DFT.

Lattice parameters (Å, degrees): 5.067 5.067 4.857 90.00 90.00 90.00
Space group P4/mmm (No. 123)
Inequivalent atoms, fractional coordinates:
Sc1 0.000 0.500 0.000
Ti1 0.000 0.000 0.500
Hg1 0.000 0.000 0.000
Os1 0.500 0.500 0.500

## Properties
Calculated total energy (Ry per atom): -0.3753
Energy of formation from the pure elements (meV/atom): 1311

Computed, not measured: a geometry-optimized TmScHgOs structure at the GGA-PBE level of DFT.

Lattice parameters (Å, degrees): 6.856 6.856 6.856 90.00 90.00 90.00
Space group F-43m (No. 216)
Inequivalent atoms, fractional coordinates:
Tm1 0.000 0.000 0.000
Sc1 0.000 0.000 0.500
Hg1 0.250 0.250 0.250
Os1 0.250 0.250 0.750

## Properties
Calculated total energy (Ry per atom): -0.4335
Energy of formation from the pure elements (meV/atom): -315
Offset from the most stable computed form (kJ per mole of atoms): 14.23

Computed, not measured: a geometry-optimized TmScHgOs structure at the GGA-PBE level of DFT.

Lattice parameters (Å, degrees): 3.349 3.349 7.324 90.00 90.00 90.00
Space group P4mm (No. 99)
Inequivalent atoms, fractional coordinates:
Tm1 0.000 0.000 0.000
Sc1 0.000 0.000 0.566
Hg1 0.500 0.500 0.300
Os1 0.500 0.500 0.769

## Properties
Calculated total energy (Ry per atom): -0.4444
Energy of formation from the pure elements (meV/atom): -462
Offset from the most stable computed form (kJ per mole of atoms): 0.00

Computed, not measured: a geometry-optimized YScHgOs structure at the GGA-PBE level of DFT.

Lattice parameters (Å, degrees): 6.917 6.917 6.917 90.00 90.00 90.00
Space group F-43m (No. 216)
Inequivalent atoms, fractional coordinates:
Y1 0.000 0.000 0.000
Sc1 0.000 0.000 0.500
Hg1 0.250 0.250 0.750
Os1 0.250 0.250 0.250

## Properties
Calculated total energy (Ry per atom): -0.4669
Energy of formation from the pure elements (meV/atom): -271

Computed, not measured: a geometry-optimized YScHgOs2 structure at the GGA-PBE level of DFT.

Lattice parameters (Å, degrees): 4.719 4.719 5.168 90.00 90.00 90.00
Space group P4/mmm (No. 123)
Inequivalent atoms, fractional coordinates:
Y1 0.000 0.000 0.000
Sc1 0.000 0.000 0.500
Hg1 0.500 0.500 0.000
Os1 0.000 0.500 0.500

## Properties
Calculated total energy (Ry per atom): -0.4153
Energy of formation from the pure elements (meV/atom): 1461

Computed, not measured: a geometry-optimized ZrScHgOs structure at the GGA-PBE level of DFT.

Lattice parameters (Å, degrees): 6.758 6.758 6.758 90.00 90.00 90.00
Space group F-43m (No. 216)
Inequivalent atoms, fractional coordinates:
Zr1 0.000 0.000 0.000
Sc1 0.000 0.000 0.500
Hg1 0.250 0.250 0.250
Os1 0.250 0.250 0.750

## Properties
Calculated total energy (Ry per atom): -0.5054
Energy of formation from the pure elements (meV/atom): -274
Offset from the most stable computed form (kJ per mole of atoms): 14.51

Computed, not measured: a geometry-optimized ZrScHgOs structure at the GGA-PBE level of DFT.

Lattice parameters (Å, degrees): 3.259 3.259 7.377 90.00 90.00 90.00
Space group P4mm (No. 99)
Inequivalent atoms, fractional coordinates:
Zr1 0.000 0.000 0.000
Sc1 0.000 0.000 0.563
Hg1 0.500 0.500 0.292
Os1 0.500 0.500 0.783

## Properties
Calculated total energy (Ry per atom): -0.5165
Energy of formation from the pure elements (meV/atom): -424
Offset from the most stable computed form (kJ per mole of atoms): 0.00

Computed, not measured: a geometry-optimized HgOsSe2 structure at the GGA-PBE level of DFT.

Lattice parameters (Å, degrees): 2.949 5.434 10.763 90.00 90.00 90.00
Space group Cmmm (No. 65)
Inequivalent atoms, fractional coordinates:
Hg1 0.000 0.000 0.000
Os1 0.000 0.000 0.500
Se1 0.000 0.500 0.310

## Properties
Formation energy from raw total energies (eV/atom): 0.450
Calculated total energy (Ry per atom): -0.3069

Computed, not measured: a geometry-optimized HgOsSe2 structure at the GGA-PBE level of DFT.

Lattice parameters (Å, degrees): 6.719 6.719 6.719 90.00 90.00 90.00
Space group F-43m (No. 216)
Inequivalent atoms, fractional coordinates:
Hg1 0.000 0.000 0.000
Os1 0.250 0.250 0.250
Se1 0.000 0.000 0.500
Se2 0.250 0.250 0.750

## Properties
Formation energy from raw total energies (eV/atom): 1.121
Calculated total energy (Ry per atom): -0.2576

Computed, not measured: a geometry-optimized HgOsSe2 structure at the GGA-PBE level of DFT.

Lattice parameters (Å, degrees): 6.998 6.998 9.042 90.00 90.00 90.00
Space group I-42d (No. 122)
Inequivalent atoms, fractional coordinates:
Hg1 0.000 0.000 0.000
Os1 0.000 0.000 0.500
Se1 0.158 0.750 0.625

## Properties
Formation energy from raw total energies (eV/atom): 0.247
Calculated total energy (Ry per atom): -0.3218

Computed, not measured: a geometry-optimized HgOs4Se structure at the GGA-PBE level of DFT.

Lattice parameters (Å, degrees): 7.440 7.440 7.440 90.00 90.00 90.00
Space group F-43m (No. 216)
Inequivalent atoms, fractional coordinates:
Hg1 0.000 0.000 0.000
Os1 0.124 0.124 0.376
Se1 0.250 0.250 0.750

## Properties
Formation energy from raw total energies (eV/atom): 1.199
Calculated total energy (Ry per atom): -0.5085

Computed, not measured: a geometry-optimized HgOsSe2 structure at the GGA-PBE level of DFT.

Lattice parameters (Å, degrees): 2.9189 2.9189 34.9098 90.00 90.00 120.00
Space group R-3m (No. 166, hexagonal axes)
Inequivalent atoms, fractional coordinates:
Hg1 0.0000 0.0000 0.0000
Os1 0.0000 0.0000 0.5000
Se1 0.0000 0.0000 0.4317

## Properties
Formation energy from raw total energies (eV/atom): 0.408
Calculated total energy (Ry per atom): -0.3100

Computed, not measured: a geometry-optimized HgOsSe2 structure at the GGA-PBE level of DFT.

Lattice parameters (Å, degrees): 3.363 4.636 4.791 90.00 90.00 90.00
Space group Pmmm (No. 47)
Inequivalent atoms, fractional coordinates:
Hg1 0.000 0.000 0.000
Os1 0.500 0.500 0.000
Se1 0.000 0.500 0.500
Se2 0.500 0.000 0.500

## Properties
Formation energy from raw total energies (eV/atom): 1.016
Calculated total energy (Ry per atom): -0.2653

Computed, not measured: a geometry-optimized HgOsSe2 structure at the GGA-PBE level of DFT.

Lattice parameters (Å, degrees): 5.259 3.636 5.483 90.00 113.78 90.00
Space group P2/m (No. 10)
Inequivalent atoms, fractional coordinates:
Hg1 0.000 0.000 0.000
Os1 0.000 0.000 0.500
Se1 0.340 0.500 0.645

## Properties
Formation energy from raw total energies (eV/atom): 0.169
Calculated total energy (Ry per atom): -0.3276

Computed, not measured: a geometry-optimized HgOs2Se2 structure at the GGA-PBE level of DFT.

Lattice parameters (Å, degrees): 4.114 4.114 11.136 90.00 90.00 90.00
Space group I4/mmm (No. 139)
Inequivalent atoms, fractional coordinates:
Hg1 0.000 0.000 0.000
Os1 0.000 0.000 0.389
Se1 0.000 0.500 0.250

## Properties
Formation energy from raw total energies (eV/atom): 0.704
Calculated total energy (Ry per atom): -0.3853
Offset from the most stable computed form (kJ per mole of atoms): 0.00

Computed, not measured: a geometry-optimized HgOsSe2 structure at the GGA-PBE level of DFT.

Lattice parameters (Å, degrees): 2.988 2.988 9.251 90.00 90.00 90.00
Space group P4mm (No. 99)
Inequivalent atoms, fractional coordinates:
Hg1 0.000 0.000 0.000
Os1 0.500 0.500 0.235
Se1 0.000 0.000 0.381
Se2 0.500 0.500 0.718

## Properties
Formation energy from raw total energies (eV/atom): 0.353
Calculated total energy (Ry per atom): -0.3140

Computed, not measured: a geometry-optimized HgOsSe2 structure at the GGA-PBE level of DFT.

Lattice parameters (Å, degrees): 3.045 3.045 9.594 90.00 90.00 90.00
Space group P4/mmm (No. 123)
Inequivalent atoms, fractional coordinates:
Hg1 0.000 0.000 0.000
Os1 0.000 0.000 0.500
Se1 0.500 0.500 0.336

## Properties
Formation energy from raw total energies (eV/atom): 0.267
Calculated total energy (Ry per atom): -0.3203

Computed, not measured: a geometry-optimized HgOsSe2 structure at the GGA-PBE level of DFT.

Lattice parameters (Å, degrees): 6.334 3.674 8.605 90.00 104.07 90.00
Space group C2/m (No. 12)
Inequivalent atoms, fractional coordinates:
Hg1 0.000 0.000 0.000
Os1 0.000 0.500 0.500
Se1 0.220 0.000 0.662

## Properties
Formation energy from raw total energies (eV/atom): 0.072
Calculated total energy (Ry per atom): -0.3346

Computed, not measured: a geometry-optimized HgOs2Se2 structure at the GGA-PBE level of DFT.

Lattice parameters (Å, degrees): 7.693 7.693 3.012 90.00 90.00 90.00
Space group P4/mbm (No. 127)
Inequivalent atoms, fractional coordinates:
Hg1 0.000 0.000 0.000
Os1 0.133 0.367 0.000
Se1 0.142 0.642 0.500

## Properties
Formation energy from raw total energies (eV/atom): 0.746
Calculated total energy (Ry per atom): -0.3822
Offset from the most stable computed form (kJ per mole of atoms): 3.99

Computed, not measured: a geometry-optimized HgOsSe2 structure at the GGA-PBE level of DFT.

Lattice parameters (Å, degrees): 3.825 3.848 8.790 90.00 102.11 90.00
Space group Pm (No. 6)
Inequivalent atoms, fractional coordinates:
Hg1 0.000 0.000 0.000
Os1 0.767 0.500 0.521
Se1 0.344 0.500 0.680
Se2 0.692 0.000 0.366

## Properties
Formation energy from raw total energies (eV/atom): 0.210
Calculated total energy (Ry per atom): -0.3245

Computed, not measured: a geometry-optimized HgOsSe2 structure at the GGA-PBE level of DFT.

Lattice parameters (Å, degrees): 2.911 5.419 10.630 90.00 90.00 90.00
Space group Cmm2 (No. 35)
Inequivalent atoms, fractional coordinates:
Hg1 0.000 0.000 0.000
Os1 0.000 0.500 0.231
Se1 0.000 0.000 0.412
Se2 0.000 0.500 0.744

## Properties
Formation energy from raw total energies (eV/atom): 0.582
Calculated total energy (Ry per atom): -0.2971

Computed, not measured: a geometry-optimized HgOsSe2 structure at the GGA-PBE level of DFT.

Lattice parameters (Å, degrees): 2.948 3.961 7.108 90.00 90.00 90.00
Space group Pmm2 (No. 25)
Inequivalent atoms, fractional coordinates:
Hg1 0.000 0.000 0.000
Os1 0.500 0.500 0.323
Se1 0.000 0.000 0.429
Se2 0.500 0.500 0.677

## Properties
Formation energy from raw total energies (eV/atom): 0.570
Calculated total energy (Ry per atom): -0.2981

Computed, not measured: a geometry-optimized Hg4OsSe structure at the GGA-PBE level of DFT.

Lattice parameters (Å, degrees): 8.043 8.043 8.043 90.00 90.00 90.00
Space group F-43m (No. 216)
Inequivalent atoms, fractional coordinates:
Hg1 0.125 0.125 0.125
Os1 0.250 0.250 0.750
Se1 0.000 0.000 0.500

## Properties
Formation energy from raw total energies (eV/atom): 1.088
Calculated total energy (Ry per atom): -0.1151

Computed, not measured: a geometry-optimized HgOsSe2 structure at the GGA-PBE level of DFT.

Lattice parameters (Å, degrees): 4.863 4.863 3.156 90.00 90.00 90.00
Space group P4/mmm (No. 123)
Inequivalent atoms, fractional coordinates:
Hg1 0.000 0.000 0.000
Os1 0.500 0.500 0.000
Se1 0.000 0.500 0.500

## Properties
Formation energy from raw total energies (eV/atom): 0.922
Calculated total energy (Ry per atom): -0.2722

Computed, not measured: a geometry-optimized HgOsSe2 structure at the GGA-PBE level of DFT.

Lattice parameters (Å, degrees): 3.1938 3.1938 28.7847 90.00 90.00 120.00
Space group R3m (No. 160, hexagonal axes)
Inequivalent atoms, fractional coordinates:
Hg1 0.0000 0.0000 0.0000
Os1 0.0000 0.0000 0.7462
Se1 0.0000 0.0000 0.2483
Se2 0.0000 0.0000 0.4670

## Properties
Formation energy from raw total energies (eV/atom): 0.348
Calculated total energy (Ry per atom): -0.3144

Computed, not measured: a geometry-optimized HgOsSe2 structure at the GGA-PBE level of DFT.

Lattice parameters (Å, degrees): 5.770 7.809 3.303 90.00 90.00 90.00
Space group Cmmm (No. 65)
Inequivalent atoms, fractional coordinates:
Hg1 0.000 0.000 0.000
Os1 0.000 0.500 0.000
Se1 0.250 0.250 0.500

## Properties
Formation energy from raw total energies (eV/atom): 0.865
Calculated total energy (Ry per atom): -0.2764